Nd6TmCd | PBE-GGA | optimized geometry

```
data_Nd6TmCd
_cell_length_a 6.575
_cell_length_b 6.588
_cell_length_c 9.113
_cell_angle_alpha 110.74
_cell_angle_beta 90.63
_cell_angle_gamma 119.44
_space_group_name_H-M_alt 'P -1'
_space_group_IT_number 2
loop_
_space_group_symop_operation_xyz
'x,y,z'
'-x,-y,-z'
loop_
_atom_site_label
_atom_site_type_symbol
_atom_site_fract_x
_atom_site_fract_y
_atom_site_fract_z
_atom_site_occupancy
Nd1 Nd 0.040 0.471 0.288 1
Nd2 Nd 0.171 0.136 0.709 1
Nd3 Nd 0.441 0.261 0.288 1
Tm1 Tm 0.500 0.000 0.500 1
Cd1 Cd 0.000 0.000 0.000 1
```

Computed properties:
Relative energy among the computed polymorphs (kcal/mol of atoms): 10.56
DFT formation energy (meV per atom): 414
Theoretical density (g/cm³): 6.1
Total moment (Bohr magnetons per cell): 0.000

***

TaSb2Cl | PBE-GGA | optimized geometry

```
data_TaSb2Cl
_cell_length_a 3.535
_cell_length_b 3.535
_cell_length_c 8.113
_cell_angle_alpha 90.00
_cell_angle_beta 90.00
_cell_angle_gamma 90.00
_space_group_name_H-M_alt 'P 4 m m'
_space_group_IT_number 99
loop_
_space_group_symop_operation_xyz
'x,y,z'
'-y,x,z'
'-x,-y,z'
'y,-x,z'
'-x,y,z'
'y,x,z'
'x,-y,z'
'-y,-x,z'
loop_
_atom_site_label
_atom_site_type_symbol
_atom_site_fract_x
_atom_site_fract_y
_atom_site_fract_z
_atom_site_occupancy
Ta1 Ta 0.000 0.000 0.000 1
Sb1 Sb 0.000 0.000 0.619 1
Sb2 Sb 0.500 0.500 0.837 1
Cl1 Cl 0.500 0.500 0.218 1
```

Computed properties:
Relative energy among the computed polymorphs (kcal/mol of atoms): 6.81
Theoretical density (g/cm³): 7.5
Total moment (Bohr magnetons per cell): 0.000
Energy relative to the elements, uncorrected (meV/atom): 125